No. 1
Computed, not measured: a relaxed TbPuPb crystal at the PBE level of DFT.

Cell: 7.455 7.455 7.455 Å, 90.00 90.00 90.00°
Positions (direct):
Tb 0.000 0.000 0.000
Tb 0.000 0.500 0.500
Tb 0.500 0.000 0.500
Tb 0.500 0.500 0.000
Pu 0.000 0.000 0.500
Pu 0.000 0.500 0.000
Pu 0.500 0.000 0.000
Pu 0.500 0.500 0.500
Pb 0.250 0.250 0.750
Pb 0.250 0.750 0.250
Pb 0.750 0.250 0.250
Pb 0.750 0.750 0.750

Values from the calculation:
- SG = F-43m
- relative energy among the computed polymorphs (eV per formula unit) = 0.00
- crystal system = cubic

***

No. 2
Computed, not measured: a relaxed Pu2TcPb crystal at the PBE level of DFT.

Cell: 3.240 3.240 8.947 Å, 90.00 90.00 90.00°
Positions (direct):
Pu 0.000 0.000 0.201
Pu 0.000 0.000 0.799
Tc 0.500 0.500 0.000
Pb 0.500 0.500 0.500

Values from the calculation:
- SG = P4/mmm
- uncorrected energy (eV/atom) = -10.761
- crystal system = tetragonal

***

Copy entry 2 word for word.
Computed, not measured: a relaxed Pu2TcPb crystal at the PBE level of DFT.

Cell: 3.240 3.240 8.947 Å, 90.00 90.00 90.00°
Positions (direct):
Pu 0.000 0.000 0.201
Pu 0.000 0.000 0.799
Tc 0.500 0.500 0.000
Pb 0.500 0.500 0.500

Values from the calculation:
- SG = P4/mmm
- uncorrected energy (eV/atom) = -10.761
- crystal system = tetragonal